1.
This record from Alexandria via LeMat-Bulk describes crystalline Na2NiH20C12N12O18 at its relaxed geometry. The functional is GGA-PBEsol.

Calculated values
electronic total energy: -6.82 eV per atom

a = 6.748 Å, b = 10.242 Å, c = 10.260 Å
α = 62.07°, β = 71.58°, γ = 83.11°
Element x y z (fractional)
1 Na 0.237 0.097 0.468
2 Na 0.763 0.903 0.532
3 Ni 0.000 0.500 0.000
4 H 0.064 0.794 0.699
5 H 0.066 0.104 0.228
6 H 0.125 0.874 0.135
7 H 0.234 0.490 0.503
8 H 0.302 0.933 0.886
9 H 0.306 0.389 0.102
10 H 0.312 0.345 0.962
11 H 0.334 0.706 0.474
12 H 0.429 0.416 0.257
13 H 0.438 0.681 0.820
14 H 0.562 0.319 0.180
15 H 0.571 0.584 0.743
16 H 0.666 0.294 0.526
17 H 0.688 0.655 0.038
18 H 0.694 0.611 0.898
19 H 0.698 0.067 0.114
20 H 0.766 0.510 0.497
21 H 0.875 0.126 0.865
22 H 0.934 0.896 0.772
23 H 0.936 0.206 0.301
24 C 0.055 0.301 0.670
25 C 0.105 0.699 0.083
26 C 0.106 0.508 0.711
27 C 0.319 0.110 0.936
28 C 0.472 0.686 0.268
29 C 0.485 0.106 0.693
30 C 0.515 0.894 0.307
31 C 0.528 0.314 0.732
32 C 0.681 0.890 0.064
33 C 0.894 0.492 0.289
34 C 0.895 0.301 0.917
35 C 0.945 0.699 0.330
36 N 0.009 0.566 0.139
37 N 0.066 0.765 0.179
38 N 0.135 0.439 0.619
39 N 0.363 0.041 0.843
40 N 0.401 0.247 0.879
41 N 0.430 0.758 0.358
42 N 0.570 0.242 0.642
43 N 0.599 0.753 0.121
44 N 0.637 0.959 0.157
45 N 0.865 0.561 0.381
46 N 0.934 0.235 0.821
47 N 0.991 0.434 0.861
48 O 0.004 0.109 0.326
49 O 0.090 0.240 0.586
50 O 0.187 0.633 0.656
51 O 0.202 0.043 0.073
52 O 0.223 0.764 0.947
53 O 0.258 0.420 0.007
54 O 0.393 0.558 0.326
55 O 0.418 0.334 0.234
56 O 0.485 0.954 0.391
57 O 0.515 0.046 0.609
58 O 0.582 0.666 0.766
59 O 0.607 0.442 0.674
60 O 0.742 0.580 0.993
61 O 0.777 0.236 0.053
62 O 0.798 0.957 0.927
63 O 0.813 0.367 0.344
64 O 0.910 0.760 0.414
65 O 0.996 0.891 0.674

---

2.
This record from Alexandria via LeMat-Bulk describes crystalline NaH2C2N3O at its relaxed geometry. The functional is GGA-PBEsol.

Calculated values
electronic total energy: -6.97 eV per atom
DOS at the Fermi energy: 0.0 states/eV/f.u.

a = 10.226 Å, b = 10.226 Å, c = 6.571 Å
α = 90.00°, β = 90.00°, γ = 120.00°
Element x y z (fractional)
1 Na 0.000 0.596 0.000
2 Na 0.000 0.596 0.500
3 Na 0.404 0.404 0.000
4 Na 0.404 0.404 0.500
5 Na 0.596 0.000 0.000
6 Na 0.596 0.000 0.500
7 H 0.171 0.825 0.250
8 H 0.175 0.346 0.250
9 H 0.207 0.515 0.250
10 H 0.307 0.793 0.250
11 H 0.346 0.175 0.750
12 H 0.485 0.693 0.250
13 H 0.515 0.207 0.750
14 H 0.654 0.829 0.250
15 H 0.693 0.485 0.750
16 H 0.793 0.307 0.750
17 H 0.825 0.171 0.750
18 H 0.829 0.654 0.750
19 C 0.064 0.915 0.750
20 C 0.085 0.149 0.750
21 C 0.120 0.388 0.750
22 C 0.149 0.085 0.250
23 C 0.268 0.880 0.750
24 C 0.388 0.120 0.250
25 C 0.612 0.732 0.750
26 C 0.732 0.612 0.250
27 C 0.851 0.936 0.750
28 C 0.880 0.268 0.250
29 C 0.915 0.064 0.250
30 C 0.936 0.851 0.250
31 N 0.066 0.155 0.250
32 N 0.078 0.476 0.750
33 N 0.089 0.934 0.250
34 N 0.122 0.821 0.750
35 N 0.155 0.066 0.750
36 N 0.179 0.301 0.750
37 N 0.301 0.179 0.250
38 N 0.398 0.922 0.750
39 N 0.476 0.078 0.250
40 N 0.524 0.602 0.750
41 N 0.602 0.524 0.250
42 N 0.699 0.878 0.750
43 N 0.821 0.122 0.250
44 N 0.845 0.911 0.250
45 N 0.878 0.699 0.250
46 N 0.911 0.845 0.750
47 N 0.922 0.398 0.250
48 N 0.934 0.089 0.750
49 O 0.197 0.740 0.250
50 O 0.260 0.457 0.250
51 O 0.457 0.260 0.750
52 O 0.543 0.803 0.250
53 O 0.740 0.197 0.750
54 O 0.803 0.543 0.750